TaNbMo2W | GGA-PBE | optimized geometry

Cell: 4.3978 4.3978 10.0815 Å, 90.00 90.00 112.46°
Closest atoms and distances in Å follow each position.
Fractional positions:
Ta: 0.0450 0.9550 0.7500  2 Nb 2.54, 3 W 2.58-2.82, 2 Mo 2.82
Ta: 0.9550 0.0450 0.2500  2 Nb 2.54, 3 W 2.58-2.82, 2 Mo 2.82
Nb: 0.0000 0.0000 0.0000  2 Ta 2.54, 4 Mo 2.80
Nb: 0.0000 0.0000 0.5000  2 Ta 2.54, 4 Mo 2.80
Mo: 0.3665 0.6335 0.5958  1 W 2.65, 1 Mo 2.75, 3 Nb 2.80-2.85, 1 Ta 2.82
Mo: 0.3665 0.6335 0.9042  1 W 2.65, 1 Mo 2.75, 3 Nb 2.80-2.85, 1 Ta 2.82
Mo: 0.6335 0.3665 0.0958  1 W 2.65, 1 Mo 2.75, 3 Nb 2.80-2.85, 1 Ta 2.82
Mo: 0.6335 0.3665 0.4042  1 W 2.65, 1 Mo 2.75, 3 Nb 2.80-2.85, 1 Ta 2.82
W: 0.3408 0.6592 0.2500  3 Ta 2.58-2.82, 2 Mo 2.65
W: 0.6592 0.3408 0.7500  3 Ta 2.58-2.82, 2 Mo 2.65

Computed properties:
Space group: No. 63
Formation energy from the elements in eV/atom: 0.68
DFT total energy in eV/atom: -10.6302